! LiVGaO4 | the Alexandria database | PBE+U | relaxed; values from VASP
&SYSTEM
  ibrav = 0, nat = 14, ntyp = 4
/
ATOMIC_SPECIES
O 16.00 O.upf
Li 6.94 Li.upf
Ga 69.72 Ga.upf
V 50.94 V.upf
CELL_PARAMETERS angstrom
5.948 0.000 0.002
-0.001 5.939 0.001
2.964 2.969 4.217
ATOMIC_POSITIONS angstrom
O 1.457 1.655 0.060
O 1.456 4.283 0.059
O 7.455 4.624 4.161
O 6.052 5.937 2.300
O 2.859 2.970 1.919
O 2.779 5.938 2.217
O 6.132 2.969 2.003
O 7.453 7.252 4.159
Li 4.477 2.969 3.122
Li 4.434 5.938 1.097
Ga 7.429 4.453 2.111
Ga 7.430 1.484 2.111
V 2.973 2.969 0.001
V 2.964 5.938 4.217
! volume	74.5	Å³/f.u.
! total DFT energy (no corrections)	-0.483	Ry/atom
! crystal system	monoclinic